Entry 1:
PBE-GGA KHg2Ir, relaxed; polymorph energy (0 for the lowest one) = 68 meV per atom; symmetry = No. 1
1.0
5.405 0.000 0.000
1.076 5.714 0.000
1.223 0.736 7.240
K Hg Ir
2 4 2
Direct
0.000 0.000 0.000
0.469 0.238 0.665
0.080 0.790 0.550
0.453 0.099 0.248
0.579 0.658 0.879
0.977 0.487 0.244
0.458 0.573 0.247
0.608 0.736 0.505


Entry 2:
PBE-GGA K2HgIr, relaxed; symmetry = No. 47
1.0
2.815 0.000 0.000
0.000 4.687 0.000
0.000 0.000 8.678
K Hg Ir
2 1 1
Direct
0.000 0.000 0.214
0.000 0.000 0.786
0.500 0.500 0.500
0.500 0.500 0.000


Entry 3:
PBE-GGA KHg2Ir, relaxed; polymorph energy (0 for the lowest one) = 310 meV per atom; symmetry = No. 6
1.0
4.901 0.000 0.000
0.000 5.177 0.000
-0.026 0.000 5.177
K Hg Ir
1 2 1
Direct
0.000 0.000 0.000
0.498 0.000 0.505
0.498 0.500 0.012
0.413 0.500 0.512


Entry 4:
PBE-GGA KHg2Ir, relaxed; polymorph energy (0 for the lowest one) = 163 meV per atom; symmetry = No. 44
1.0
-1.546 2.273 7.665
1.546 -2.273 7.665
1.546 2.273 -7.665
K Hg Ir
1 2 1
Direct
0.000 0.000 0.000
0.318 0.818 0.500
0.651 0.651 0.000
0.807 0.307 0.500


Entry 5:
PBE-GGA KHg3Ir, relaxed; symmetry = No. 221
1.0
5.324 0.000 0.000
0.000 5.324 0.000
0.000 0.000 5.324
K Hg Ir
1 3 1
Direct
0.000 0.000 0.000
0.000 0.500 0.500
0.500 0.000 0.500
0.500 0.500 0.000
0.500 0.500 0.500


Entry 6:
PBE-GGA KHg2Ir, relaxed; polymorph energy (0 for the lowest one) = 60 meV per atom; symmetry = No. 1
1.0
4.385 0.000 0.000
-0.001 6.335 0.000
-2.177 -1.114 8.907
K Hg Ir
2 4 2
Direct
0.000 0.000 0.000
0.279 0.595 0.555
0.644 0.823 0.290
0.646 0.288 0.286
0.802 0.070 0.598
0.914 0.457 0.825
0.073 0.535 0.145
0.519 0.518 0.036


Entry 7:
PBE-GGA KHgIr2, relaxed; symmetry = No. 166
1.0
1.454 0.839 10.276
-1.454 0.839 10.276
0.000 -1.679 10.276
K Hg Ir
1 1 2
Direct
0.000 0.000 0.000
0.500 0.500 0.500
0.242 0.242 0.242
0.758 0.758 0.758


Entry 8:
PBE-GGA KHg2Ir, relaxed; polymorph energy (0 for the lowest one) = 0 meV per atom; symmetry = No. 65
1.0
4.595 -5.288 0.000
4.595 5.288 0.000
0.000 0.000 4.848
K Hg Ir
2 4 2
Direct
0.238 0.238 0.000
0.762 0.762 0.000
0.000 0.500 0.500
0.271 0.729 0.000
0.500 0.000 0.500
0.729 0.271 0.000
0.387 0.613 0.500
0.613 0.387 0.500


Entry 9:
PBE-GGA KHgIr2, relaxed; symmetry = No. 123
1.0
3.426 0.000 0.000
0.000 3.426 0.000
0.000 0.000 7.704
K Hg Ir
1 1 2
Direct
0.000 0.000 0.000
0.000 0.000 0.500
0.500 0.500 0.325
0.500 0.500 0.675


Entry 10:
PBE-GGA KMgHgIr2, relaxed; symmetry = No. 123
1.0
5.151 0.000 0.000
0.000 5.151 0.000
0.000 0.000 5.063
K Mg Hg Ir
1 1 1 2
Direct
0.000 0.000 0.000
0.500 0.500 0.000
0.500 0.500 0.500
0.000 0.500 0.500
0.500 0.000 0.500


Entry 11:
PBE-GGA KMg2HgIr, relaxed; symmetry = No. 123
1.0
5.068 0.000 0.000
0.000 5.068 0.000
0.000 0.000 5.401
K Mg Hg Ir
1 2 1 1
Direct
0.000 0.000 0.000
0.000 0.500 0.500
0.500 0.000 0.500
0.500 0.500 0.000
0.500 0.500 0.500


Entry 12:
PBE-GGA KMn2HgIr, relaxed; symmetry = No. 123
1.0
4.841 0.000 0.000
0.000 4.841 0.000
0.000 0.000 4.810
K Mn Hg Ir
1 2 1 1
Direct
0.000 0.000 0.000
0.000 0.500 0.000
0.500 0.000 0.000
0.500 0.500 0.500
0.000 0.000 0.500


Entry 13:
PBE-GGA K2Hg2IrO6, relaxed; ΔE_f (raw) = -0.814 eV per atom; symmetry = No. 12
1.0
3.280 -5.694 0.000
3.280 5.694 0.000
-0.181 0.000 5.992
K Hg Ir O
2 2 1 6
Direct
0.160 0.840 0.000
0.840 0.160 0.000
0.366 0.634 0.500
0.634 0.366 0.500
0.500 0.500 0.000
0.246 0.501 0.809
0.270 0.270 0.182
0.499 0.754 0.191
0.501 0.246 0.809
0.730 0.730 0.818
0.754 0.499 0.191


Entry 14:
PBE-GGA K2Hg3IrO6, relaxed; ΔE_f (raw) = -0.724 eV per atom; symmetry = No. 12
1.0
3.094 -5.744 0.000
3.094 5.744 0.000
-2.064 0.000 5.712
K Hg Ir O
2 3 1 6
Direct
0.174 0.826 0.000
0.826 0.174 0.000
0.000 0.000 0.500
0.361 0.639 0.500
0.639 0.361 0.500
0.500 0.500 0.000
0.194 0.431 0.776
0.293 0.293 0.178
0.431 0.194 0.776
0.569 0.806 0.224
0.707 0.707 0.822
0.806 0.569 0.224


Entry 15:
PBE-GGA KHgIr2Os, relaxed; symmetry = No. 123
1.0
4.627 0.000 0.000
0.000 4.627 0.000
0.000 0.000 5.102
K Hg Ir Os
1 1 2 1
Direct
0.000 0.000 0.000
0.000 0.000 0.500
0.000 0.500 0.000
0.500 0.000 0.000
0.500 0.500 0.500


Entry 16:
PBE-GGA KHg2IrPb, relaxed; polymorph energy (0 for the lowest one) = 0 meV per atom; symmetry = No. 123
1.0
5.423 0.000 0.000
0.000 5.423 0.000
0.000 0.000 5.175
K Hg Ir Pb
1 2 1 1
Direct
0.000 0.000 0.000
0.000 0.500 0.500
0.500 0.000 0.500
0.500 0.500 0.500
0.500 0.500 0.000


Entry 17:
PBE-GGA KHg2IrPb, relaxed; polymorph energy (0 for the lowest one) = 1401 meV per atom; symmetry = No. 123
1.0
5.335 0.000 0.000
0.000 5.335 0.000
0.000 0.000 5.799
K Hg Ir Pb
1 2 1 1
Direct
0.000 0.000 0.000
0.000 0.500 0.000
0.500 0.000 0.000
0.000 0.000 0.500
0.500 0.500 0.500


Entry 18:
PBE-GGA KHg2SbIr, relaxed; ΔE_f (raw) = -0.057 eV per atom; symmetry = No. 123
1.0
5.392 0.000 0.000
0.000 5.392 0.000
0.000 0.000 5.108
K Hg Sb Ir
1 2 1 1
Direct
0.000 0.000 0.000
0.000 0.500 0.500
0.500 0.000 0.500
0.500 0.500 0.000
0.500 0.500 0.500


Entry 19:
PBE-GGA KSi2HgIr, relaxed; ΔE_f (raw) = 0.056 eV per atom; symmetry = No. 123
1.0
4.594 0.000 0.000
0.000 4.594 0.000
0.000 0.000 6.477
K Si Hg Ir
1 2 1 1
Direct
0.000 0.000 0.000
0.000 0.500 0.500
0.500 0.000 0.500
0.500 0.500 0.000
0.000 0.000 0.500


Entry 20:
PBE-GGA KSiHgIr2, relaxed; ΔE_f (raw) = 1.847 eV per atom; symmetry = No. 123
1.0
5.047 0.000 0.000
0.000 5.047 0.000
0.000 0.000 5.386
K Si Hg Ir
1 1 1 2
Direct
0.000 0.000 0.000
0.500 0.500 0.000
0.000 0.000 0.500
0.000 0.500 0.500
0.500 0.000 0.500


no.,calculated volume (Å³ per cell),E_tot (eV/atom)
1,223.6,-2.527
2,114.5,-2.321
3,131.3,-2.285
4,107.7,-2.433
5,150.9,-2.232
6,247.4,-2.535
7,75.2,-4.015
8,235.6,-2.595
9,90.4,-3.731
10,134.3,-2.931
11,138.7,-2.792
12,112.7,-3.503
13,223.8,-4.579
14,203.0,-4.200
15,109.2,-2.833
16,152.2,-2.888
17,165.1,-1.487
18,148.5,-2.994
19,136.7,-4.166
20,137.2,-3.062